Material: Cs2KRb7
Method: DFT, PBE-GGA
State: relaxed Values from VASP.

DOS at the Fermi energy, states/eV/atom: 0.8703
M_tot, μB per atom: 0.000
ΔE_f, meV/atom: 132

Structure (Quantum ESPRESSO input):
```
&SYSTEM
  ibrav = 0, nat = 10, ntyp = 3
/
ATOMIC_SPECIES
Cs 132.91 Cs.upf
K 39.10 K.upf
Rb 85.47 Rb.upf
ATOMIC_POSITIONS crystal
Cs 0.2500 0.2500 0.2500
Cs 0.7500 0.7500 0.7500
K 0.0000 0.0000 0.0000
Rb 0.2461 0.2461 0.7539
Rb 0.2461 0.7539 0.2461
Rb 0.2461 0.7539 0.7539
Rb 0.5000 0.5000 0.5000
Rb 0.7539 0.2461 0.2461
Rb 0.7539 0.2461 0.7539
Rb 0.7539 0.7539 0.2461
CELL_PARAMETERS angstrom
0.0000 8.2350 8.2350
8.2350 0.0000 8.2350
8.2350 8.2350 0.0000
```